Entry 1:
! Cu2SiTe | Alexandria | PBE | relaxed; values from VASP
! Formation energy without anion corrections = 0.393 eV/atom
! Energy above the most stable polymorph in this dataset = 0.329 eV per atom
! Calculated volume = 17.416 Å³ per atom
&SYSTEM
  ibrav = 0, nat = 4, ntyp = 3
/
ATOMIC_SPECIES
Cu 63.55 Cu.upf
Si 28.09 Si.upf
Te 127.60 Te.upf
CELL_PARAMETERS angstrom
-1.8549 2.4805 3.7851
1.8549 -2.4805 3.7851
1.8549 2.4805 -3.7851
ATOMIC_POSITIONS angstrom
Cu 0.0000 0.0000 1.6683
Cu 0.0000 0.0000 5.9020
Si 1.8549 0.0000 0.0000
Te 0.0000 2.4805 0.0000

=====

Entry 2:
! Sr2YBeIn | Alexandria | PBE | relaxed; values from VASP
! E_form = 1.151 eV per atom
! Calculated volume = 49.646 Å³ per atom
&SYSTEM
  ibrav = 0, nat = 5, ntyp = 4
/
ATOMIC_SPECIES
Sr 87.62 Sr.upf
Y 88.91 Y.upf
Be 9.01 Be.upf
In 114.82 In.upf
CELL_PARAMETERS angstrom
6.6354 0.0000 0.0000
0.0000 6.6354 0.0000
0.0000 0.0000 5.6380
ATOMIC_POSITIONS angstrom
Sr 0.0000 3.3177 0.0000
Sr 3.3177 0.0000 0.0000
Y 0.0000 0.0000 0.0000
Be 3.3177 3.3177 2.8190
In 0.0000 0.0000 2.8190

=====

Entry 3:
! SrLiCd2Ni | Alexandria | PBE | relaxed; values from VASP
! Energy above the most stable polymorph in this dataset = 0.000 eV per atom
! E_form = -0.093 eV per atom
! Calculated volume = 24.491 Å³ per atom
&SYSTEM
  ibrav = 0, nat = 5, ntyp = 4
/
ATOMIC_SPECIES
Sr 87.62 Sr.upf
Li 6.94 Li.upf
Cd 112.41 Cd.upf
Ni 58.69 Ni.upf
CELL_PARAMETERS angstrom
5.0692 0.0000 0.0000
0.0000 5.0692 0.0000
0.0000 0.0000 4.7655
ATOMIC_POSITIONS angstrom
Sr 0.0000 0.0000 0.0000
Li 2.5346 2.5346 0.0000
Cd 0.0000 2.5346 2.3827
Cd 2.5346 0.0000 2.3827
Ni 2.5346 2.5346 2.3827

=====

no.,magnetization (μB per atom)
1,0.000
2,0.346
3,0.000